# BeCoW2

A geometry-optimized BeCoW2 structure (PBE, the Alexandria database).

Values from the calculation:
* electronic total energy: -0.6492 Ry per atom
* ΔE_f: 1.41 eV per formula unit

Cell: 2.7169 2.7169 25.4436 Å, 90.00 90.00 120.00°
Space group R-3m (No. 166, hexagonal axes)
Symmetry-distinct sites (fractional):
Be 0.0000 0.0000 0.0000 [3 per cell]
Co 0.0000 0.0000 0.5000 [3 per cell]
W 0.0000 0.0000 0.2509 [6 per cell]

---

# Ac2LaTbPm4

A geometry-optimized Ac2LaTbPm4 structure (PBE, the Alexandria database).

Values from the calculation:
* electronic total energy: -0.3101 Ry per atom
* ΔE_f: 3.02 eV per formula unit

Cell: 14.120 13.823 7.154 Å, 90.00 120.30 90.00°
Space group C2/c (No. 15)
Symmetry-distinct sites (fractional):
Ac 0.000 0.000 0.000 [4 per cell]
Ac 0.250 0.250 0.000 [4 per cell]
La 0.000 0.500 0.000 [4 per cell]
Tb 0.250 0.250 0.500 [4 per cell]
Pm 0.000 0.260 0.016 [8 per cell]
Pm 0.237 0.491 0.486 [8 per cell]

---

# Th6Ga2C

A geometry-optimized Th6Ga2C structure (PBE, the Alexandria database).

Values from the calculation:
* electronic total energy: -0.5074 Ry per atom
* ΔE_f: -2.33 eV per formula unit

Cell: 6.418 7.987 11.307 Å, 90.00 122.25 90.00°
Space group P2_1/c (No. 14)
Symmetry-distinct sites (fractional):
Th 0.105 0.160 0.452 [4 per cell]
Th 0.311 0.708 0.445 [4 per cell]
Th 0.366 0.029 0.243 [4 per cell]
Ga 0.186 0.115 0.761 [4 per cell]
C 0.500 0.000 0.500 [2 per cell]

---

# Sm2Si3Ni12Pt

A geometry-optimized Sm2Si3Ni12Pt structure (PBE, the Alexandria database).

Values from the calculation:
* electronic total energy: -0.4172 Ry per atom
* ΔE_f (raw): -0.06 eV per atom

Cell: 8.5858 8.5858 11.7615 Å, 90.00 90.00 120.00°
Space group R-3m (No. 166, hexagonal axes)
Symmetry-distinct sites (fractional):
Sm 0.0000 0.0000 0.1671 [6 per cell]
Si 0.0000 0.5000 0.0000 [9 per cell]
Ni 0.0043 0.5021 0.1921 [18 per cell]
Ni 0.0055 0.5028 0.3907 [18 per cell]
Pt 0.0000 0.0000 0.5000 [3 per cell]

---

# BaHg6Sb2

A geometry-optimized BaHg6Sb2 structure (PBE, the Alexandria database).

Values from the calculation:
* electronic total energy: -0.1100 Ry per atom
* ΔE_f (raw): -0.17 eV per atom

Cell: 5.066 5.066 10.601 Å, 90.00 90.00 90.00°
Space group P4/mmm (No. 123)
Symmetry-distinct sites (fractional):
Ba 0.000 0.000 0.000 [1 per cell]
Hg 0.000 0.000 0.500 [1 per cell]
Hg 0.000 0.500 0.313 [4 per cell]
Hg 0.500 0.500 0.500 [1 per cell]
Sb 0.500 0.500 0.133 [2 per cell]

---

# PmHg2Bi2

A geometry-optimized PmHg2Bi2 structure (PBE, the Alexandria database).

Values from the calculation:
* electronic total energy: -0.2099 Ry per atom
* offset from the most stable computed form: 10.45 kJ/mol of atoms
* ΔE_f: -1.16 eV per formula unit

Cell: 5.3527 5.3527 12.9282 Å, 90.00 90.00 120.00°
Space group P6_3/mmc (No. 194)
Symmetry-distinct sites (fractional):
Pm 0.0000 0.0000 0.2500 [2 per cell]
Hg 0.0000 0.0000 0.0000 [2 per cell]
Hg 0.3333 0.6667 0.2500 [2 per cell]
Bi 0.3333 0.6667 0.6266 [4 per cell]

---

# SrRhS2

A geometry-optimized SrRhS2 structure (PBE, the Alexandria database).

Values from the calculation:
* electronic total energy: -0.3557 Ry per atom
* ΔE_f (raw): -0.52 eV per atom
* offset from the most stable computed form: 35.20 kJ/mol of atoms

Cell: 3.7564 3.7564 23.8399 Å, 90.00 90.00 120.00°
Space group R-3m (No. 166, hexagonal axes)
Symmetry-distinct sites (fractional):
Sr 0.0000 0.0000 0.0000 [3 per cell]
Rh 0.0000 0.0000 0.5000 [3 per cell]
S 0.0000 0.0000 0.1203 [6 per cell]

---

# NdHo14Sc

A geometry-optimized NdHo14Sc structure (PBE, the Alexandria database).

Values from the calculation:
* electronic total energy: -0.3436 Ry per atom
* ΔE_f: 0.39 eV per formula unit

Cell: 7.036 7.036 9.930 Å, 90.00 90.00 90.00°
Space group P4/mmm (No. 123)
Symmetry-distinct sites (fractional):
Nd 0.000 0.000 0.000 [1 per cell]
Ho 0.000 0.000 0.500 [1 per cell]
Ho 0.000 0.500 0.000 [2 per cell]
Ho 0.000 0.500 0.500 [2 per cell]
Ho 0.252 0.252 0.249 [8 per cell]
Ho 0.500 0.500 0.500 [1 per cell]
Sc 0.500 0.500 0.000 [1 per cell]

---

# RbCr

A geometry-optimized RbCr structure (PBE, the Alexandria database).

Values from the calculation:
* electronic total energy: -0.2891 Ry per atom
* offset from the most stable computed form: 51.79 kJ/mol of atoms
* ΔE_f: 2.72 eV per formula unit

Cell: 10.234 10.234 10.234 Å, 90.00 90.00 90.00°
Space group I-43m (No. 217)
Symmetry-distinct sites (fractional):
Rb 0.221 0.221 0.779 [8 per cell]
Cr 0.074 0.074 0.074 [8 per cell]

---

# K2NaHg6Pb

A geometry-optimized K2NaHg6Pb structure (PBE, the Alexandria database).

Values from the calculation:
* electronic total energy: -0.0684 Ry per atom
* ΔE_f: -0.28 eV per formula unit

Cell: 11.705 11.705 11.705 Å, 90.00 90.00 90.00°
Space group Fm-3m (No. 225)
Symmetry-distinct sites (fractional):
K 0.250 0.250 0.250 [8 per cell]
Na 0.000 0.000 0.000 [4 per cell]
Hg 0.000 0.000 0.243 [24 per cell]
Pb 0.000 0.000 0.500 [4 per cell]

---

# TlAs2P2

A geometry-optimized TlAs2P2 structure (PBE, the Alexandria database).

Values from the calculation:
* electronic total energy: -0.3155 Ry per atom
* offset from the most stable computed form: 0.00 kJ/mol of atoms
* ΔE_f: 1.02 eV per formula unit

Cell: 4.714 4.714 10.510 Å, 90.00 90.00 90.00°
Space group I4/mmm (No. 139)
Symmetry-distinct sites (fractional):
Tl 0.000 0.000 0.000 [2 per cell]
As 0.000 0.000 0.335 [4 per cell]
P 0.000 0.500 0.250 [4 per cell]

---

# Zn2CrRhAu

A geometry-optimized Zn2CrRhAu structure (PBE, the Alexandria database).

Values from the calculation:
* electronic total energy: -0.2671 Ry per atom
* ΔE_f: 4.63 eV per formula unit

Cell: 4.714 4.714 4.942 Å, 90.00 90.00 90.00°
Space group P4/mmm (No. 123)
Symmetry-distinct sites (fractional):
Zn 0.000 0.500 0.000 [2 per cell]
Cr 0.000 0.000 0.500 [1 per cell]
Rh 0.500 0.500 0.500 [1 per cell]
Au 0.000 0.000 0.000 [1 per cell]

---

- The highest electronic total energy belongs to which entry?
  K2NaHg6Pb